1.
# CaPm6Sm3

A relaxed structure of CaPm6Sm3 (PBE, Alexandria).

- Total DFT energy (no corrections): -4.40 eV per atom
- Space group: P2_1/m (11)

Cell lengths 12.251, 3.601, 16.394 Å; angles 90.00, 104.36, 90.00 degrees
Fractional coordinates of all 20 atoms:
1 Ca 0.132 0.250 0.061
2 Ca 0.868 0.750 0.939
3 Pm 0.114 0.250 0.461
4 Pm 0.116 0.750 0.852
5 Pm 0.153 0.750 0.272
6 Pm 0.340 0.750 0.615
7 Pm 0.362 0.250 0.821
8 Pm 0.380 0.750 0.019
9 Pm 0.620 0.250 0.981
10 Pm 0.638 0.750 0.179
11 Pm 0.660 0.250 0.385
12 Pm 0.847 0.250 0.728
13 Pm 0.884 0.250 0.148
14 Pm 0.886 0.750 0.539
15 Sm 0.112 0.250 0.669
16 Sm 0.382 0.250 0.428
17 Sm 0.397 0.250 0.217
18 Sm 0.603 0.750 0.783
19 Sm 0.618 0.750 0.572
20 Sm 0.888 0.750 0.331

---

2.
# InIrS2

A relaxed structure of InIrS2 (PBE, Alexandria).

- Space group: I-42d (122)
- Formation energy from raw total energies: -0.09 eV/atom

Cell lengths 6.790, 6.790, 6.790 Å; angles 126.81, 126.81, 78.57 degrees
Fractional coordinates of all 8 atoms:
1 In 0.000 0.000 0.000
2 In 0.750 0.250 0.500
3 Ir 0.250 0.750 0.500
4 Ir 0.500 0.500 0.000
5 S 0.202 0.625 0.077
6 S 0.375 0.452 0.577
7 S 0.548 0.125 0.923
8 S 0.875 0.798 0.423

---

3.
# LaPrSbSe

A relaxed structure of LaPrSbSe (PBE, Alexandria).

- Space group: P4/mmm (123)
- Formation energy from raw total energies: -1.56 eV/atom

Cell lengths 4.468, 4.468, 6.278 Å; angles 90.00, 90.00, 90.00 degrees
Fractional coordinates of all 4 atoms:
1 La 0.000 0.000 0.000
2 Pr 0.500 0.500 0.500
3 Sb 0.500 0.500 0.000
4 Se 0.000 0.000 0.500

---

4.
# MoIr3

A relaxed structure of MoIr3 (PBE, Alexandria).

- Total DFT energy (no corrections): -9.02 eV per atom
- Space group: R-3m (166)

Cell lengths 5.165, 5.165, 5.165 Å; angles 117.00, 117.00, 117.00 degrees
Fractional coordinates of all 4 atoms:
1 Mo 0.000 0.000 0.000
2 Ir 0.000 0.500 0.500
3 Ir 0.500 0.000 0.500
4 Ir 0.500 0.500 0.000

---

5.
# GaPCl2

A relaxed structure of GaPCl2 (PBE, Alexandria).

- Space group: Fm-3m (225)
- Formation energy from raw total energies: 0.38 eV/atom

Cell lengths 5.013, 5.013, 5.013 Å; angles 60.00, 60.00, 60.00 degrees
Fractional coordinates of all 4 atoms:
1 Ga 0.000 0.000 0.000
2 P 0.500 0.500 0.500
3 Cl 0.250 0.250 0.250
4 Cl 0.750 0.750 0.750

---

6.
# Na2ErPaTe4

A relaxed structure of Na2ErPaTe4 (PBE, Alexandria).

- Space group: P2/m (10)
- Formation energy from raw total energies: -1.06 eV/atom

Cell lengths 7.618, 4.331, 8.079 Å; angles 90.00, 107.83, 90.00 degrees
Fractional coordinates of all 8 atoms:
1 Na 0.000 0.000 0.000
2 Na 0.500 0.500 0.000
3 Er 0.000 0.500 0.500
4 Pa 0.500 0.000 0.500
5 Te 0.241 0.000 0.733
6 Te 0.249 0.500 0.262
7 Te 0.751 0.500 0.738
8 Te 0.759 0.000 0.267

---

7.
# Hg5TeI2

A relaxed structure of Hg5TeI2 (PBE, Alexandria).

- Space group: Cm (8)
- Formation energy from raw total energies: -0.12 eV/atom

Cell lengths 7.080, 7.080, 7.427 Å; angles 101.87, 101.87, 95.78 degrees
Fractional coordinates of all 8 atoms:
1 Hg 0.000 0.000 0.000
2 Hg 0.205 0.696 0.961
3 Hg 0.541 0.541 0.401
4 Hg 0.696 0.205 0.961
5 Hg 0.852 0.852 0.337
6 Te 0.355 0.355 0.035
7 I 0.381 0.833 0.616
8 I 0.833 0.381 0.616

---

8.
# CuIrOs4

A relaxed structure of CuIrOs4 (PBE, Alexandria).

- Total DFT energy (no corrections): -8.70 eV per atom
- Space group: F-43m (216)

Cell lengths 5.102, 5.102, 5.102 Å; angles 60.00, 60.00, 60.00 degrees
Fractional coordinates of all 6 atoms:
1 Cu 0.000 0.000 0.000
2 Ir 0.750 0.750 0.750
3 Os 0.375 0.375 0.375
4 Os 0.375 0.375 0.874
5 Os 0.375 0.874 0.375
6 Os 0.874 0.375 0.375

---

9.
# YFeMoRu2

A relaxed structure of YFeMoRu2 (PBE, Alexandria).

- Total DFT energy (no corrections): -6.15 eV per atom
- Space group: P4/mmm (123)

Cell lengths 4.715, 4.715, 4.822 Å; angles 90.00, 90.00, 90.00 degrees
Fractional coordinates of all 5 atoms:
1 Y 0.000 0.000 0.000
2 Fe 0.500 0.500 0.500
3 Mo 0.000 0.000 0.500
4 Ru 0.000 0.500 0.000
5 Ru 0.500 0.000 0.000

---

10.
# ScGaSi2

A relaxed structure of ScGaSi2 (PBE, Alexandria).

- Space group: I-42d (122)
- Formation energy from raw total energies: -0.09 eV/atom

Cell lengths 5.803, 5.803, 5.803 Å; angles 103.77, 103.77, 121.59 degrees
Fractional coordinates of all 8 atoms:
1 Sc 0.000 0.000 0.000
2 Sc 0.750 0.250 0.500
3 Ga 0.250 0.750 0.500
4 Ga 0.500 0.500 0.000
5 Si 0.159 0.625 0.034
6 Si 0.375 0.409 0.534
7 Si 0.591 0.125 0.966
8 Si 0.875 0.841 0.466

---

11.
# Na2U2IrS6

A relaxed structure of Na2U2IrS6 (PBE, Alexandria).

- Space group: C2/m (12)
- Formation energy from raw total energies: -1.07 eV/atom

Cell lengths 6.360, 6.360, 7.361 Å; angles 98.37, 98.37, 119.07 degrees
Fractional coordinates of all 11 atoms:
1 Na 0.168 0.832 0.000
2 Na 0.832 0.168 0.000
3 U 0.331 0.669 0.500
4 U 0.669 0.331 0.500
5 Ir 0.000 0.000 0.500
6 S 0.076 0.383 0.720
7 S 0.229 0.229 0.284
8 S 0.383 0.076 0.720
9 S 0.617 0.924 0.280
10 S 0.771 0.771 0.716
11 S 0.924 0.617 0.280

---

12.
# CsCa3Al

A relaxed structure of CsCa3Al (PBE, Alexandria).

- Total DFT energy (no corrections): -2.00 eV per atom
- Space group: Pm-3m (221)

Cell lengths 6.174, 6.174, 6.174 Å; angles 90.00, 90.00, 90.00 degrees
Fractional coordinates of all 5 atoms:
1 Cs 0.000 0.000 0.000
2 Ca 0.000 0.500 0.500
3 Ca 0.500 0.000 0.500
4 Ca 0.500 0.500 0.000
5 Al 0.500 0.500 0.500

---

13.
# ZrFeMoC2

A relaxed structure of ZrFeMoC2 (PBE, Alexandria).

- Total DFT energy (no corrections): -6.49 eV per atom
- Space group: P4/mmm (123)

Cell lengths 4.137, 4.137, 5.188 Å; angles 90.00, 90.00, 90.00 degrees
Fractional coordinates of all 5 atoms:
1 Zr 0.000 0.000 0.000
2 Fe 0.500 0.500 0.500
3 Mo 0.000 0.000 0.500
4 C 0.000 0.500 0.000
5 C 0.500 0.000 0.000